Record 1
This record from the Alexandria database describes an optimized crystal structure of K2TiSbI. The functional is PBE.

Unit cell a=6.2731 b=6.2731 c=5.3734 alpha=90.00 beta=90.00 gamma=90.00
Space group P4/mmm (No. 123)
Asymmetric unit:
K1 0.0000 0.5000 0.0000 [2 per cell]
Ti1 0.0000 0.0000 0.5000 [1 per cell]
Sb1 0.5000 0.5000 0.5000 [1 per cell]
I1 0.0000 0.0000 0.0000 [1 per cell]

Computed properties:
raw formation energy = 202 meV/atom
DOS at the Fermi energy = 0.710 states/eV/atom
final energy = -2.951 eV per atom
density = 2.94 g/cm³
crystal system = tetragonal


Record 2
This record from the Alexandria database describes an optimized crystal structure of PrSm6Tl5. The functional is PBE.

Unit cell a=6.2873 b=11.0777 c=10.8570 alpha=90.00 beta=101.78 gamma=90.00
Space group C2/m (No. 12)
Asymmetric unit:
Pr1 0.0000 0.0000 0.0000 [2 per cell]
Sm1 0.2263 0.5000 0.2525 [4 per cell]
Sm2 0.2362 0.3220 0.7386 [8 per cell]
Tl1 0.0000 0.1568 0.5000 [4 per cell]
Tl2 0.0000 0.3292 0.0000 [4 per cell]
Tl3 0.0000 0.5000 0.5000 [2 per cell]

Computed properties:
DOS at the Fermi energy = 1.221 states/eV/atom
energy relative to the lowest polymorph listed for this composition = 0.121 eV per atom
final energy = -3.918 eV per atom
density = 9.26 g/cm³
calculated formation energy = -174 meV/atom
crystal system = monoclinic